A relaxed structure of Zr4CdCu. Source: Alexandria, functional PBE.

Properties
DFT formation energy in eV/f.u.: 2.5
Crystal system: cubic

abc: 5.726 5.726 5.726
angles: 60.00 60.00 60.00
Fractional coordinates of all 6 atoms:
Zr 0.375 0.375 0.875
Cu 0.000 0.000 0.000
Zr 0.375 0.375 0.375
Cd 0.750 0.750 0.750
Zr 0.375 0.875 0.375
Zr 0.875 0.375 0.375



A relaxed structure of Ca2AgS2I2. Source: Alexandria, functional PBE.

Properties
Crystal system: tetragonal
Raw formation energy in kcal/mol of atoms: -25.94

abc: 4.872 4.872 9.003
angles: 105.70 105.70 90.00
Fractional coordinates of all 7 atoms:
I 0.808 0.808 0.616
Ca 0.391 0.391 0.782
Ag 0.000 0.000 0.000
Ca 0.609 0.609 0.218
I 0.192 0.192 0.384
S 0.000 0.500 0.000
S 0.500 0.000 0.000



A relaxed structure of CeThBiTe. Source: Alexandria, functional PBE.

Properties
Crystal system: tetragonal
Raw formation energy in kcal/mol of atoms: -21.42

abc: 4.532 4.532 6.421
angles: 90.00 90.00 90.00
Site moments in Bohr magnetons follow the coordinates.
Fractional coordinates of all 4 atoms:
Bi 0.000 0.000 0.000  -0.01
Ce 0.500 0.500 0.000  0.90
Te 0.500 0.500 0.500  0.00
Th 0.000 0.000 0.500  0.03



A relaxed structure of Ca2ZrCl. Source: Alexandria, functional PBE.

Properties
Crystal system: monoclinic
Raw formation energy in kcal/mol of atoms: -4.48

abc: 5.961 3.436 6.008
angles: 90.19 90.00 90.00
Site moments in Bohr magnetons follow the coordinates.
Fractional coordinates of all 4 atoms:
Ca 0.500 0.128 0.315  0.04
Zr 0.500 0.626 0.822  0.54
Cl 0.000 0.621 0.498  0.00
Ca 0.000 0.125 0.865  0.06



Total magnetization for the records above, in order: 0.00; 0.00; 1.08; 1.14 μB/f.u.